No. 1
# MgZn2Cu

A geometry-optimized MgZn2Cu structure (PBE-GGA, the Alexandria database).

SG	Cmcm (63)
size of the total moment	0.00	μB per formula unit
density	5.70	g cm⁻³
formation energy from the elements	-12	kJ/mol of formula units
N(E_F)	2.2	states/eV/cell

a b c (Å): 9.8848 9.8848 4.3586
angles (deg): 90.00 90.00 162.58
Positions (direct):
Mg  0.1174  0.8826  0.7500
Mg  0.8826  0.1174  0.2500
Zn  0.0357  0.9643  0.2500
Zn  0.2591  0.7409  0.2500
Zn  0.7409  0.2591  0.7500
Zn  0.9643  0.0357  0.7500
Cu  0.3489  0.6511  0.7500
Cu  0.6511  0.3489  0.2500



No. 2
# Mg2ZnCu3

A geometry-optimized Mg2ZnCu3 structure (PBE-GGA, the Alexandria database).

SG	Cmcm (63)
size of the total moment	0.00	μB per formula unit
density	5.36	g cm⁻³
formation energy from the elements	48	kJ/mol of formula units
N(E_F)	4.7	states/eV/cell

a b c (Å): 5.8830 5.8830 5.5421
angles (deg): 90.00 90.00 100.02
Positions (direct):
Mg  0.1997  0.1997  0.0000
Mg  0.1997  0.1997  0.5000
Mg  0.8003  0.8003  0.0000
Mg  0.8003  0.8003  0.5000
Zn  0.2341  0.7659  0.7500
Zn  0.7659  0.2341  0.2500
Cu  0.0906  0.5785  0.2500
Cu  0.4215  0.9094  0.2500
Cu  0.4944  0.5056  0.2500
Cu  0.5056  0.4944  0.7500
Cu  0.5785  0.0906  0.7500
Cu  0.9094  0.4215  0.7500



No. 3
# MgZnCu5

A geometry-optimized MgZnCu5 structure (PBE-GGA, the Alexandria database).

SG	Cmmm (65)
size of the total moment	0.00	μB per formula unit
density	6.75	g cm⁻³
formation energy from the elements	28	kJ/mol of formula units
N(E_F)	2.8	states/eV/cell

a b c (Å): 4.6343 4.6343 5.1314
angles (deg): 90.00 90.00 114.63
Positions (direct):
Mg  0.0000  0.0000  0.0000
Zn  0.5000  0.5000  0.5000
Cu  0.0000  0.0000  0.5000
Cu  0.0000  0.5000  0.2541
Cu  0.0000  0.5000  0.7459
Cu  0.5000  0.0000  0.2541
Cu  0.5000  0.0000  0.7459



No. 4
# Mg8Zn4Cu

A geometry-optimized Mg8Zn4Cu structure (PBE-GGA, the Alexandria database).

SG	I4/mmm (139)
size of the total moment	0.00	μB per formula unit
density	3.38	g cm⁻³
formation energy from the elements	80	kJ/mol of formula units
N(E_F)	4.6	states/eV/cell

a b c (Å): 7.4763 7.4763 7.4763
angles (deg): 96.91 96.91 139.40
Positions (direct):
Mg  0.0000  0.2039  0.2039
Mg  0.0000  0.7961  0.7961
Mg  0.1537  0.5000  0.6537
Mg  0.2039  0.0000  0.2039
Mg  0.5000  0.1537  0.6537
Mg  0.5000  0.8463  0.3463
Mg  0.7961  0.0000  0.7961
Mg  0.8463  0.5000  0.3463
Zn  0.0000  0.0000  0.5000
Zn  0.0000  0.5000  0.0000
Zn  0.5000  0.0000  0.0000
Zn  0.5000  0.5000  0.5000
Cu  0.5000  0.5000  0.0000



No. 5
# MgZn2Cu

A geometry-optimized MgZn2Cu structure (PBE-GGA, the Alexandria database).

SG	R-3m (166)
size of the total moment	0.00	μB per formula unit
density	5.78	g cm⁻³
formation energy from the elements	18	kJ/mol of formula units
N(E_F)	1.2	states/eV/cell

a b c (Å): 9.1568 9.1568 9.1568
angles (deg): 17.82 17.82 17.82
Positions (direct):
Mg  0.0000  0.0000  0.0000
Zn  0.2422  0.2422  0.2422
Zn  0.7578  0.7578  0.7578
Cu  0.5000  0.5000  0.5000



No. 6
# MgZnCu2

A geometry-optimized MgZnCu2 structure (PBE-GGA, the Alexandria database).

SG	R3m (160)
size of the total moment	0.00	μB per formula unit
density	6.09	g cm⁻³
formation energy from the elements	29	kJ/mol of formula units
N(E_F)	1.4	states/eV/cell

a b c (Å): 8.9966 8.9966 8.9966
angles (deg): 17.75 17.75 17.75
Positions (direct):
Mg  0.0000  0.0000  0.0000
Zn  0.7644  0.7644  0.7644
Cu  0.2502  0.2502  0.2502
Cu  0.5088  0.5088  0.5088